No. 1
Material: PrPaMn4
Method: DFT, PBE
State: optimized geometry

Unit cell a=7.3506 b=7.3506 c=7.3506 alpha=90.00 beta=90.00 gamma=90.00
With the nearest neighbours (Å) after each atom.
Space group F-43m (No. 216)
One atom of each set of equivalent atoms:
Pr  0.0000  0.0000  0.0000  12 Mn 3.05, 4 Pa 3.18
Pa  0.2500  0.2500  0.7500  12 Mn 3.04, 4 Pr 3.18
Mn  0.1235  0.1235  0.3765  6 Mn 2.57-2.63

Computed properties:
DFT formation energy, eV/atom: 0.159
Total DFT energy (no corrections), eV/atom: -8.3333
Calculated density, g/cm3: 9.90

No. 2
Material: PrPaMn
Method: DFT, PBE
State: optimized geometry

Unit cell a=4.0752 b=4.0752 c=5.2042 alpha=90.00 beta=90.00 gamma=120.00
With the nearest neighbours (Å) after each atom.
Space group P-6m2 (No. 187)
One atom of each set of equivalent atoms:
Pr  0.0000  0.0000  0.0000  6 Mn 3.51, 6 Pa 3.51
Pa  0.6667  0.3333  0.5000  3 Mn 2.35
Mn  0.3333  0.6667  0.5000  3 Pa 2.35

Computed properties:
DFT formation energy, eV/atom: 0.059
Total DFT energy (no corrections), eV/atom: -7.7565
Calculated density, g/cm3: 9.47

No. 3
Material: PrPaMn2
Method: DFT, PBE
State: optimized geometry

Unit cell a=3.3657 b=3.3657 c=24.8343 alpha=90.00 beta=90.00 gamma=120.00
With the nearest neighbours (Å) after each atom.
Space group R-3m (No. 166, hexagonal axes)
One atom of each set of equivalent atoms:
Pr  0.0000  0.0000  0.0000  6 Mn 3.08, 6 Pr 3.37
Pa  0.0000  0.0000  0.5000  6 Mn 2.62
Mn  0.0000  0.0000  0.2372  3 Pa 2.62

Computed properties:
DFT formation energy, eV/atom: 0.474
Total DFT energy (no corrections), eV/atom: -7.6793
Calculated density, g/cm3: 9.85

No. 4
Material: PrPaMn
Method: DFT, PBE
State: optimized geometry

Unit cell a=6.0414 b=6.0270 c=8.4193 alpha=90.00 beta=110.46 gamma=90.00
With the nearest neighbours (Å) after each atom.
Space group C2/m (No. 12)
One atom of each set of equivalent atoms:
Pr  0.1818  0.0000  0.3403  4 Pa 3.20-3.26, 4 Mn 3.39-3.47
Pa  0.1164  0.5000  0.1952  4 Mn 2.56-2.71
Mn  0.2500  0.2500  0.0000  4 Pa 2.56-2.71

Computed properties:
DFT formation energy, eV/atom: 0.272
Total DFT energy (no corrections), eV/atom: -7.5428
Calculated density, g/cm3: 9.87

No. 5
Material: PaMn2Pt5
Method: DFT, PBE
State: optimized geometry

Unit cell a=4.1355 b=4.1355 c=15.6249 alpha=90.00 beta=90.00 gamma=90.00
With the nearest neighbours (Å) after each atom.
Space group I4/mmm (No. 139)
One atom of each set of equivalent atoms:
Pa  0.0000  0.0000  0.0000  12 Pt 2.92-2.94
Mn  0.0000  0.0000  0.2531  8 Pt 2.72-2.78, 4 Mn 2.93
Pt  0.0000  0.0000  0.5000  4 Pa 2.92, 8 Pt 2.94
Pt  0.0000  0.5000  0.1340  4 Mn 2.72-2.78, 6 Pt 2.92-2.94, 2 Pa 2.94

Computed properties:
DFT formation energy, eV/atom: -0.661
Total DFT energy (no corrections), eV/atom: -7.9157
Calculated density, g/cm3: 16.36

No. 6
Material: PaMnPt6
Method: DFT, PBE
State: optimized geometry

Unit cell a=4.1058 b=4.1058 c=7.9650 alpha=90.00 beta=90.00 gamma=90.00
With the nearest neighbours (Å) after each atom.
Space group P4/mmm (No. 123)
One atom of each set of equivalent atoms:
Pa  0.0000  0.0000  0.0000  12 Pt 2.90
Mn  0.0000  0.0000  0.5000  12 Pt 2.82-2.90
Pt  0.0000  0.5000  0.2577  2 Mn 2.82, 8 Pt 2.82-2.90, 2 Pa 2.90
Pt  0.5000  0.5000  0.0000  8 Pt 2.90, 4 Pa 2.90
Pt  0.5000  0.5000  0.5000  8 Pt 2.82, 4 Mn 2.90

Computed properties:
DFT formation energy, eV/atom: -0.726
Total DFT energy (no corrections), eV/atom: -7.5901
Calculated density, g/cm3: 18.01

No. 7
Material: PaMn3Pt12
Method: DFT, PBE
State: optimized geometry

Unit cell a=4.0168 b=4.0168 c=15.8662 alpha=90.00 beta=90.00 gamma=90.00
With the nearest neighbours (Å) after each atom.
Space group P4/mmm (No. 123)
One atom of each set of equivalent atoms:
Pa  0.0000  0.0000  0.0000  12 Pt 2.84-2.92
Mn  0.0000  0.0000  0.2609  12 Pt 2.75-2.85
Mn  0.0000  0.0000  0.5000  12 Pt 2.77-2.84
Pt  0.0000  0.5000  0.1332  8 Pt 2.81-2.92, 2 Mn 2.85, 2 Pa 2.92
Pt  0.0000  0.5000  0.3795  4 Mn 2.75-2.77, 8 Pt 2.77-2.84
Pt  0.5000  0.5000  0.0000  4 Pa 2.84, 8 Pt 2.92
Pt  0.5000  0.5000  0.2574  8 Pt 2.79-2.81, 4 Mn 2.84
Pt  0.5000  0.5000  0.5000  8 Pt 2.77, 4 Mn 2.84

Computed properties:
DFT formation energy, eV/atom: -0.528
Total DFT energy (no corrections), eV/atom: -7.3717
Calculated density, g/cm3: 17.75

No. 8
Material: PaMnPt
Method: DFT, PBE
State: optimized geometry

Unit cell a=3.6015 b=3.6015 c=8.8033 alpha=90.00 beta=90.00 gamma=90.00
With the nearest neighbours (Å) after each atom.
Space group I4mm (No. 107)
One atom of each set of equivalent atoms:
Pa  0.0000  0.0000  0.0000  5 Mn 2.83-2.99, 5 Pt 2.93-2.96
Mn  0.0000  0.0000  0.3217  5 Pa 2.83-2.99, 5 Pt 2.90-3.01
Pt  0.0000  0.0000  0.6637  5 Mn 2.90-3.01, 5 Pa 2.93-2.96

Computed properties:
DFT formation energy, eV/atom: -0.334
Total DFT energy (no corrections), eV/atom: -8.5693
Calculated density, g/cm3: 13.99

No. 9
Material: Pa2MnPt
Method: DFT, PBE
State: optimized geometry

Unit cell a=3.6563 b=3.6563 c=24.7718 alpha=90.00 beta=90.00 gamma=120.00
With the nearest neighbours (Å) after each atom.
Space group R-3m (No. 166, hexagonal axes)
One atom of each set of equivalent atoms:
Pa  0.0000  0.0000  0.1069  3 Mn 2.58, 1 Pt 2.65
Mn  0.0000  0.0000  0.5000  6 Pa 2.58
Pt  0.0000  0.0000  0.0000  2 Pa 2.65

Computed properties:
DFT formation energy, eV/atom: 0.259
Total DFT energy (no corrections), eV/atom: -8.2915
Calculated density, g/cm3: 12.37

No. 10
Material: Pa2MnPt
Method: DFT, PBE
State: optimized geometry

Unit cell a=3.0891 b=3.0891 c=8.0793 alpha=90.00 beta=90.00 gamma=90.00
With the nearest neighbours (Å) after each atom.
Space group P4/mmm (No. 123)
One atom of each set of equivalent atoms:
Pa  0.0000  0.0000  0.2251  4 Mn 2.84, 4 Pa 3.09, 4 Pt 3.11
Mn  0.5000  0.5000  0.0000  8 Pa 2.84, 4 Mn 3.09
Pt  0.5000  0.5000  0.5000  4 Pt 3.09, 8 Pa 3.11

Computed properties:
DFT formation energy, eV/atom: -0.296
Total DFT energy (no corrections), eV/atom: -8.8464
Calculated density, g/cm3: 15.34

No. 11
Material: PaMnPt
Method: DFT, PBE
State: optimized geometry

Unit cell a=4.2232 b=4.2232 c=3.4821 alpha=90.00 beta=90.00 gamma=120.00
With the nearest neighbours (Å) after each atom.
Space group P-6m2 (No. 187)
One atom of each set of equivalent atoms:
Pa  0.0000  0.0000  0.0000  3 Mn 2.44
Mn  0.3333  0.6667  0.0000  3 Pa 2.44
Pt  0.6667  0.3333  0.5000  6 Pa 3.00, 6 Mn 3.00

Computed properties:
DFT formation energy, eV/atom: -0.186
Total DFT energy (no corrections), eV/atom: -8.4210
Calculated density, g/cm3: 14.85

No. 12
Material: Pa2MnPt
Method: DFT, PBE
State: optimized geometry

Unit cell a=4.3208 b=4.3208 c=4.2699 alpha=90.00 beta=90.00 gamma=90.00
With the nearest neighbours (Å) after each atom.
Space group P4/mmm (No. 123)
One atom of each set of equivalent atoms:
Pa  0.0000  0.5000  0.0000  4 Mn 3.04, 4 Pt 3.04, 4 Pa 3.06
Mn  0.0000  0.0000  0.5000  8 Pa 3.04, 4 Pt 3.06
Pt  0.5000  0.5000  0.5000  8 Pa 3.04, 4 Mn 3.06

Computed properties:
DFT formation energy, eV/atom: -0.258
Total DFT energy (no corrections), eV/atom: -8.8088
Calculated density, g/cm3: 14.83

No. 13
Material: Pa2MnPt9
Method: DFT, PBE
State: optimized geometry

Unit cell a=4.1304 b=4.1304 c=12.1444 alpha=90.00 beta=90.00 gamma=90.00
With the nearest neighbours (Å) after each atom.
Space group P4/mmm (No. 123)
One atom of each set of equivalent atoms:
Pa  0.0000  0.0000  0.1771  12 Pt 2.86-2.98
Mn  0.0000  0.0000  0.5000  12 Pt 2.83-2.92
Pt  0.0000  0.5000  0.0000  8 Pt 2.92, 4 Pa 2.98
Pt  0.0000  0.5000  0.3404  2 Mn 2.83, 8 Pt 2.83-2.92, 2 Pa 2.86
Pt  0.5000  0.5000  0.1699  8 Pt 2.92, 4 Pa 2.92
Pt  0.5000  0.5000  0.5000  8 Pt 2.83, 4 Mn 2.92

Computed properties:
DFT formation energy, eV/atom: -0.820
Total DFT energy (no corrections), eV/atom: -7.6974
Calculated density, g/cm3: 18.22

No. 14
Material: Pa2MnPt6
Method: DFT, PBE
State: optimized geometry

Unit cell a=5.6432 b=5.6432 c=5.9977 alpha=90.00 beta=90.00 gamma=120.00
With the nearest neighbours (Å) after each atom.
Space group P-3m1 (No. 164)
One atom of each set of equivalent atoms:
Pa  0.3333  0.6667  0.3447  9 Pt 2.97-3.20
Mn  0.0000  0.0000  0.5000  6 Pt 2.51
Pt  0.1721  0.3443  0.8101  1 Mn 2.51, 2 Pt 2.73

Computed properties:
DFT formation energy, eV/atom: -0.803
Total DFT energy (no corrections), eV/atom: -7.9590
Calculated density, g/cm3: 16.94

No. 15
Material: PaMnPt6
Method: DFT, PBE
State: optimized geometry

Unit cell a=4.6362 b=5.7476 c=5.0759 alpha=90.00 beta=90.00 gamma=90.00
With the nearest neighbours (Å) after each atom.
Space group Pmm2 (No. 25)
One atom of each set of equivalent atoms:
Pa  0.0000  0.0000  0.0000  12 Pt 2.87-2.95
Mn  0.5000  0.5000  0.3227  12 Pt 2.85-2.91
Pt  0.0000  0.2524  0.4939  8 Pt 2.83-2.93, 2 Mn 2.86, 2 Pa 2.90-2.95
Pt  0.0000  0.5000  0.9974  8 Pt 2.83-2.93, 2 Mn 2.85, 2 Pa 2.87
Pt  0.5000  0.0000  0.3512  8 Pt 2.83-3.05, 2 Mn 2.88, 2 Pa 2.92
Pt  0.5000  0.2601  0.8265  8 Pt 2.76-3.05, 2 Mn 2.87-2.91, 2 Pa 2.90

Computed properties:
DFT formation energy, eV/atom: -0.646
Total DFT energy (no corrections), eV/atom: -7.5098
Calculated density, g/cm3: 17.88

No. 16
Material: Pa3MnPt
Method: DFT, PBE
State: optimized geometry

Unit cell a=8.7437 b=6.8446 c=7.3161 alpha=90.00 beta=100.27 gamma=90.00
With the nearest neighbours (Å) after each atom.
Space group P2_1/c (No. 14)
One atom of each set of equivalent atoms:
Pa  0.0309  0.0388  0.2067  3 Mn 2.47-2.71
Pa  0.2570  0.6835  0.0686  1 Mn 2.68, 2 Pt 2.86-2.97
Pa  0.3248  0.1727  0.9456  1 Mn 2.59
Mn  0.1000  0.1526  0.5663  5 Pa 2.47-2.71
Pt  0.4442  0.5365  0.7964  6 Pa 2.86-3.06, 1 Pt 3.01

Computed properties:
DFT formation energy, eV/atom: -0.411
Total DFT energy (no corrections), eV/atom: -9.1508
Calculated density, g/cm3: 14.54

No. 17
Material: PuPaMnPt
Method: DFT, PBE
State: optimized geometry

Unit cell a=6.8964 b=6.8964 c=6.8964 alpha=90.00 beta=90.00 gamma=90.00
With the nearest neighbours (Å) after each atom.
Space group F-43m (No. 216)
One atom of each set of equivalent atoms:
Pu  0.0000  0.0000  0.0000  4 Mn 2.99, 4 Pt 2.99
Pa  0.0000  0.0000  0.5000  4 Pt 2.99, 4 Mn 2.99
Mn  0.2500  0.2500  0.7500  4 Pa 2.99, 4 Pu 2.99
Pt  0.2500  0.2500  0.2500  4 Pa 2.99, 4 Pu 2.99

Computed properties:
DFT formation energy, eV/atom: -0.255
Total DFT energy (no corrections), eV/atom: -10.0148
Calculated density, g/cm3: 14.68

No. 18
Material: Pa2MnSi3Pt4
Method: DFT, PBE
State: optimized geometry

Unit cell a=4.1744 b=4.1744 c=10.1085 alpha=90.00 beta=90.00 gamma=90.00
With the nearest neighbours (Å) after each atom.
Space group P-4m2 (No. 115)
One atom of each set of equivalent atoms:
Pa  0.0000  0.5000  0.2486  8 Pt 3.16-3.29, 6 Si 3.20-3.27, 2 Mn 3.27
Mn  0.5000  0.5000  0.0000  4 Pt 2.51
Si  0.0000  0.0000  0.0000  4 Pt 2.51
Si  0.0000  0.5000  0.6298  5 Pt 2.35-2.47
Pt  0.0000  0.0000  0.5000  4 Si 2.47
Pt  0.0000  0.5000  0.8623  3 Si 2.35-2.51, 2 Mn 2.51
Pt  0.5000  0.5000  0.5000  4 Si 2.47

Computed properties:
Total DFT energy (no corrections), eV/atom: -7.7139
Energy relative to the elements, uncorrected, eV/atom: -0.855
Calculated density, g/cm3: 13.02

No. 19
Material: PaMnSi2Pt
Method: DFT, PBE
State: optimized geometry

Unit cell a=4.0528 b=4.0528 c=9.8501 alpha=90.00 beta=90.00 gamma=90.00
With the nearest neighbours (Å) after each atom.
Space group I-4m2 (No. 119)
One atom of each set of equivalent atoms:
Pa  0.0000  0.0000  0.0000  8 Si 3.11, 4 Mn 3.19, 4 Pt 3.19
Mn  0.0000  0.5000  0.2500  4 Si 2.39
Si  0.0000  0.0000  0.3784  2 Mn 2.39, 2 Pt 2.39, 1 Si 2.39
Pt  0.0000  0.5000  0.7500  4 Si 2.39

Computed properties:
Total DFT energy (no corrections), eV/atom: -7.8712
Energy relative to the elements, uncorrected, eV/atom: -0.761
Calculated density, g/cm3: 11.03

No. 20
Material: PaMnSnPt
Method: DFT, PBE
State: optimized geometry

Unit cell a=6.8111 b=6.8111 c=6.8111 alpha=90.00 beta=90.00 gamma=90.00
With the nearest neighbours (Å) after each atom.
Space group F-43m (No. 216)
One atom of each set of equivalent atoms:
Pa  0.0000  0.0000  0.0000  4 Pt 2.95, 4 Mn 2.95
Mn  0.2500  0.2500  0.7500  4 Sn 2.95, 4 Pa 2.95
Sn  0.0000  0.0000  0.5000  4 Mn 2.95, 4 Pt 2.95
Pt  0.2500  0.2500  0.2500  4 Sn 2.95, 4 Pa 2.95

Computed properties:
DFT formation energy, eV/atom: -0.307
Total DFT energy (no corrections), eV/atom: -7.4842
Calculated density, g/cm3: 12.61